The following is a DFT calculation (PBE) of crystalline LuScCdPd at its relaxed geometry.

Properties
raw total energy: -0.1762 Ha/atom
DOS at the Fermi energy: 1.94 states/eV/f.u.

Unit cell a=4.9340 b=4.9340 c=4.9340 alpha=60.00 beta=60.00 gamma=60.00
Fractional coordinates of all 4 atoms:
Sc (0.0000, 0.0000, 0.0000)
Lu (0.5000, 0.5000, 0.5000)
Pd (0.2500, 0.2500, 0.2500)
Cd (0.7500, 0.7500, 0.7500)


The following is a DFT calculation (PBE) of crystalline Tb5BiAs4 at its relaxed geometry.

Properties
raw total energy: -0.2186 Ha/atom
DOS at the Fermi energy: 1.92 states/eV/f.u.

Unit cell a=4.1839 b=7.3023 c=9.4294 alpha=75.36 beta=77.18 gamma=73.35
Fractional coordinates of all 10 atoms:
Tb (0.2057, 0.9021, 0.6865)
Tb (0.7943, 0.0979, 0.3135)
Tb (0.3914, 0.3270, 0.8902)
Tb (0.0000, 0.5000, 0.5000)
Tb (0.6086, 0.6730, 0.1098)
Bi (0.0000, 0.0000, 0.0000)
As (0.5975, 0.2039, 0.6011)
As (0.2027, 0.3902, 0.2044)
As (0.7973, 0.6098, 0.7956)
As (0.4025, 0.7961, 0.3989)


The following is a DFT calculation (PBE) of crystalline MnInNi2 at its relaxed geometry.

Properties
raw total energy: -0.2043 Ha/atom
DOS at the Fermi energy: 2.64 states/eV/f.u.

Unit cell a=8.2594 b=8.2594 c=8.2594 alpha=20.31 beta=20.31 gamma=20.31
Fractional coordinates of all 4 atoms:
In (0.5041, 0.5041, 0.5041)
Mn (0.7399, 0.7399, 0.7399)
Ni (0.9996, 0.9996, 0.9996)
Ni (0.2564, 0.2564, 0.2564)